A relaxed structure of YTc2BS. Source: Alexandria, functional PBE-GGA.

Computed properties:
**DFT total energy**: -6.80 eV/atom

The structure in CIF format:
```
data_YTc2BS
_chemical_formula_sum 'Y1 Tc2 B1 S1'
_cell_length_a 4.305
_cell_length_b 4.305
_cell_length_c 5.126
_cell_angle_alpha 90.00
_cell_angle_beta 90.00
_cell_angle_gamma 90.00
_space_group_name_H-M_alt 'P 1'
_space_group_IT_number 1
_space_group_name_Hall 'P 1'
loop_
_atom_site_label
_atom_site_fract_x
_atom_site_fract_y
_atom_site_fract_z
Y1 0.000 0.000 0.000
Tc1 0.000 0.500 0.500
Tc2 0.500 0.000 0.500
B1 0.500 0.500 0.000
S1 0.000 0.000 0.500
```